# 1
Here is an optimized crystal structure of MoIrSeN2 from the Alexandria database. Energies are from PBE-GGA.

Properties
Excess energy over the best structure of this formula in the dataset in eV/f.u.: 0.000
Formation energy from raw total energies in kcal/mol of atoms: 23.34

Cell: 3.832 3.832 5.474 Å, 90.00 90.00 90.00°
Space group P4/mmm (No. 123)
One atom of each set of equivalent atoms:
Mo  0.000  0.000  0.000 [1 per cell]
Ir  0.500  0.500  0.500 [1 per cell]
Se  0.000  0.000  0.500 [1 per cell]
N  0.000  0.500  0.000 [2 per cell]

---

# 2
Here is an optimized crystal structure of K2BeCdSn from the Alexandria database. Energies are from PBE-GGA.

Properties
DFT total energy in eV per atom: -2.005

Cell: 6.444 6.444 4.484 Å, 90.00 90.00 90.00°
Space group P4/mmm (No. 123)
One atom of each set of equivalent atoms:
K  0.000  0.500  0.000 [2 per cell]
Be  0.000  0.000  0.000 [1 per cell]
Cd  0.500  0.500  0.500 [1 per cell]
Sn  0.000  0.000  0.500 [1 per cell]

---

# 3
Here is an optimized crystal structure of NaPtPb3 from the Alexandria database. Energies are from PBE-GGA.

Properties
Excess energy over the best structure of this formula in the dataset in eV/f.u.: 5.359

Cell: 5.326 5.326 5.326 Å, 90.00 90.00 90.00°
Space group Pm-3m (No. 221)
One atom of each set of equivalent atoms:
Na  0.000  0.000  0.000 [1 per cell]
Pt  0.500  0.500  0.500 [1 per cell]
Pb  0.000  0.000  0.500 [3 per cell]

---

# 4
Here is an optimized crystal structure of Nd3Ga2Ni7 from the Alexandria database. Energies are from PBE-GGA.

Properties
DFT total energy in eV per atom: -5.489

Cell: 5.2443 5.2443 24.1591 Å, 90.00 90.00 120.00°
Space group R-3m (No. 166, hexagonal axes)
One atom of each set of equivalent atoms:
Nd  0.0000  0.0000  0.0000 [3 per cell]
Nd  0.0000  0.0000  0.1416 [6 per cell]
Ga  0.0000  0.0000  0.3307 [6 per cell]
Ni  0.0000  0.0000  0.5000 [3 per cell]
Ni  0.0085  0.5042  0.0811 [18 per cell]

---

# 5
Here is an optimized crystal structure of MoSe2 from the Alexandria database. Energies are from PBE-GGA.

Properties
Formation energy from raw total energies in kcal/mol of atoms: 6.68

Cell: 4.412 4.412 3.107 Å, 90.00 90.00 90.00°
Space group P4/mmm (No. 123)
One atom of each set of equivalent atoms:
Mo  0.000  0.000  0.000 [1 per cell]
Se  0.000  0.500  0.500 [2 per cell]

---

# 6
Here is an optimized crystal structure of TaRhO from the Alexandria database. Energies are from PBE-GGA.

Properties
Formation energy from raw total energies in kcal/mol of atoms: -25.54

Cell: 3.382 3.382 13.630 Å, 90.00 90.00 90.00°
Space group I4/mmm (No. 139)
One atom of each set of equivalent atoms:
Ta  0.000  0.000  0.100 [4 per cell]
Rh  0.000  0.000  0.303 [4 per cell]
O  0.000  0.500  0.000 [4 per cell]